VASP calculation (PBE-GGA) on NaTmPd6O8 after structural relaxation.

Calculated values
total moment = 0.00 μB per formula unit
E = -5.875 eV/atom

Lattice parameters (Å, degrees): 5.767 5.767 5.767 90.00 90.00 90.00
Space group Pm-3 (No. 200)
Unique sites:
Na  0.000  0.000  0.000 [1 per cell]
Tm  0.500  0.500  0.500 [1 per cell]
Pd  0.000  0.500  0.250 [6 per cell]
O  0.261  0.261  0.261 [8 per cell]